(1)
VASP calculation (GGA-PBE) on an optimized crystal structure of Na2Ho2TeO6.

Geometry as CIF:
```
data_Na2Ho2TeO6
_chemical_formula_sum 'Na2 Ho2 Te1 O6'
_space_group_name_H-M_alt 'P 1'
_space_group_IT_number 1
_cell_length_a 5.895
_cell_length_b 5.895
_cell_length_c 5.928
_cell_angle_alpha 98.75
_cell_angle_beta 98.75
_cell_angle_gamma 119.98
loop_
_space_group_symop_operation_xyz
'x,y,z'
loop_
_atom_site_label
_atom_site_type_symbol
_atom_site_fract_x
_atom_site_fract_y
_atom_site_fract_z
Na1 Na 0.162 0.838 0.000
Na2 Na 0.838 0.162 0.000
Ho1 Ho 0.336 0.664 0.500
Ho2 Ho 0.664 0.336 0.500
Te1 Te 0.000 0.000 0.500
O1 O 0.052 0.388 0.699
O2 O 0.254 0.254 0.299
O3 O 0.388 0.052 0.699
O4 O 0.612 0.948 0.301
O5 O 0.746 0.746 0.701
O6 O 0.948 0.612 0.301
```

Summary:
Mass density, g cm⁻³: 5.9
Calculated total energy, eV per atom: -6.344
Fermi-level density of states, states/eV/cell: 0.0


(2)
VASP calculation (GGA-PBE) on an optimized crystal structure of Na3Ho3TiO8.

Geometry as CIF:
```
data_Na3Ho3TiO8
_chemical_formula_sum 'Na3 Ho3 Ti1 O8'
_space_group_name_H-M_alt 'P 1'
_space_group_IT_number 1
_cell_length_a 6.748
_cell_length_b 6.748
_cell_length_c 6.748
_cell_angle_alpha 58.92
_cell_angle_beta 58.92
_cell_angle_gamma 58.92
loop_
_space_group_symop_operation_xyz
'x,y,z'
loop_
_atom_site_label
_atom_site_type_symbol
_atom_site_fract_x
_atom_site_fract_y
_atom_site_fract_z
Na1 Na 0.000 0.500 0.500
Na2 Na 0.500 0.000 0.500
Na3 Na 0.500 0.500 0.000
Ho1 Ho 0.000 0.000 0.500
Ho2 Ho 0.000 0.500 0.000
Ho3 Ho 0.500 0.000 0.000
Ti1 Ti 0.500 0.500 0.500
O1 O 0.237 0.237 0.237
O2 O 0.265 0.714 0.714
O3 O 0.286 0.286 0.735
O4 O 0.286 0.735 0.286
O5 O 0.714 0.265 0.714
O6 O 0.714 0.714 0.265
O7 O 0.735 0.286 0.286
O8 O 0.763 0.763 0.763
```

Summary:
Mass density, g cm⁻³: 5.8
Calculated total energy, eV per atom: -7.219
Fermi-level density of states, states/eV/cell: 0.0


(3)
VASP calculation (GGA-PBE) on an optimized crystal structure of Na4Ho3TlO8.

Geometry as CIF:
```
data_Na4Ho3TlO8
_chemical_formula_sum 'Na4 Ho3 Tl1 O8'
_space_group_name_H-M_alt 'P 1'
_space_group_IT_number 1
_cell_length_a 6.851
_cell_length_b 6.851
_cell_length_c 6.851
_cell_angle_alpha 59.48
_cell_angle_beta 59.48
_cell_angle_gamma 59.48
loop_
_space_group_symop_operation_xyz
'x,y,z'
loop_
_atom_site_label
_atom_site_type_symbol
_atom_site_fract_x
_atom_site_fract_y
_atom_site_fract_z
Na1 Na 0.000 0.000 0.000
Na2 Na 0.000 0.500 0.500
Na3 Na 0.500 0.000 0.500
Na4 Na 0.500 0.500 0.000
Ho1 Ho 0.000 0.000 0.500
Ho2 Ho 0.000 0.500 0.000
Ho3 Ho 0.500 0.000 0.000
Tl1 Tl 0.500 0.500 0.500
O1 O 0.232 0.744 0.744
O2 O 0.235 0.235 0.235
O3 O 0.256 0.256 0.768
O4 O 0.256 0.768 0.256
O5 O 0.744 0.232 0.744
O6 O 0.744 0.744 0.232
O7 O 0.765 0.765 0.765
O8 O 0.768 0.256 0.256
```

Summary:
Mass density, g cm⁻³: 6.8
Calculated total energy, eV per atom: -6.185
Fermi-level density of states, states/eV/cell: 0.0


(4)
VASP calculation (GGA-PBE) on an optimized crystal structure of Na2HoTlO4.

Geometry as CIF:
```
data_Na2HoTlO4
_chemical_formula_sum 'Na2 Ho1 Tl1 O4'
_space_group_name_H-M_alt 'P 1'
_space_group_IT_number 1
_cell_length_a 5.845
_cell_length_b 3.412
_cell_length_c 5.976
_cell_angle_alpha 90.00
_cell_angle_beta 109.45
_cell_angle_gamma 90.00
loop_
_space_group_symop_operation_xyz
'x,y,z'
loop_
_atom_site_label
_atom_site_type_symbol
_atom_site_fract_x
_atom_site_fract_y
_atom_site_fract_z
Na1 Na 0.000 0.000 0.000
Na2 Na 0.500 0.500 0.000
Ho1 Ho 0.000 0.500 0.500
Tl1 Tl 0.500 0.000 0.500
O1 O 0.228 0.000 0.718
O2 O 0.256 0.500 0.277
O3 O 0.744 0.500 0.723
O4 O 0.772 0.000 0.282
```

Summary:
Mass density, g cm⁻³: 7.1
Calculated total energy, eV per atom: -5.605


(5)
VASP calculation (GGA-PBE) on an optimized crystal structure of Na3Ho2TmO6.

Geometry as CIF:
```
data_Na3Ho2TmO6
_chemical_formula_sum 'Na3 Ho2 Tm1 O6'
_space_group_name_H-M_alt 'P 1'
_space_group_IT_number 1
_cell_length_a 5.878
_cell_length_b 5.878
_cell_length_c 5.905
_cell_angle_alpha 99.55
_cell_angle_beta 99.55
_cell_angle_gamma 120.00
loop_
_space_group_symop_operation_xyz
'x,y,z'
loop_
_atom_site_label
_atom_site_type_symbol
_atom_site_fract_x
_atom_site_fract_y
_atom_site_fract_z
Na1 Na 0.000 0.000 0.000
Na2 Na 0.334 0.666 0.000
Na3 Na 0.666 0.334 0.000
Ho1 Ho 0.167 0.833 0.500
Ho2 Ho 0.833 0.167 0.500
Tm1 Tm 0.500 0.500 0.500
O1 O 0.100 0.430 0.290
O2 O 0.239 0.239 0.709
O3 O 0.430 0.100 0.290
O4 O 0.570 0.900 0.710
O5 O 0.761 0.761 0.291
O6 O 0.900 0.570 0.710
```

Summary:
Mass density, g cm⁻³: 6.6
Calculated total energy, eV per atom: -6.781
Fermi-level density of states, states/eV/cell: 0.0


(6)
VASP calculation (GGA-PBE) on an optimized crystal structure of Na2HoUO5.

Geometry as CIF:
```
data_Na2HoUO5
_chemical_formula_sum 'Na2 Ho1 U1 O5'
_space_group_name_H-M_alt 'P 1'
_space_group_IT_number 1
_cell_length_a 4.135
_cell_length_b 4.135
_cell_length_c 8.602
_cell_angle_alpha 90.00
_cell_angle_beta 90.00
_cell_angle_gamma 90.00
loop_
_space_group_symop_operation_xyz
'x,y,z'
loop_
_atom_site_label
_atom_site_type_symbol
_atom_site_fract_x
_atom_site_fract_y
_atom_site_fract_z
Na1 Na 0.000 0.000 0.232
Na2 Na 0.000 0.000 0.768
Ho1 Ho 0.500 0.500 0.500
U1 U 0.500 0.500 0.000
O1 O 0.000 0.000 0.500
O2 O 0.000 0.500 0.000
O3 O 0.500 0.000 0.000
O4 O 0.500 0.500 0.253
O5 O 0.500 0.500 0.747
```

Summary:
Mass density, g cm⁻³: 6.0
Calculated total energy, eV per atom: -7.336
Fermi-level density of states, states/eV/cell: 2.4


Question: The lowest mass density belongs to which entry?
Answer: Na3Ho3TiO8